PBE-GGA AcSnRuO6, relaxed; total moment = 0.33 μB/atom; E = -128.203 eV/cell; space-group type = P-31c, No. 163; density of states at the Fermi level = 0.137 states/eV/atom
1.0
5.393 0.000 0.000
-2.696 4.670 0.000
0.000 0.000 10.731
Ac Sn Ru O
2 2 2 12
Direct
0.000 0.000 0.000
0.000 0.000 0.500
0.333 0.667 0.250
0.667 0.333 0.750
0.333 0.667 0.750
0.667 0.333 0.250
0.015 0.380 0.645
0.015 0.636 0.855
0.364 0.380 0.855
0.364 0.985 0.645
0.380 0.015 0.145
0.380 0.364 0.355
0.620 0.636 0.645
0.620 0.985 0.855
0.636 0.015 0.355
0.636 0.620 0.145
0.985 0.364 0.145
0.985 0.620 0.355

---

PBE-GGA Sr2AcRuO8, relaxed; total moment = 0.18 μB/atom; E = -78.865 eV/cell; space-group type = P2/m, No. 10; density of states at the Fermi level = 0.228 states/eV/atom
1.0
4.551 0.000 0.000
0.000 7.361 0.000
-0.203 0.000 5.554
Sr Ac Ru O
2 1 1 8
Direct
0.000 0.241 0.000
0.000 0.759 0.000
0.500 0.500 0.500
0.500 0.000 0.500
0.019 0.500 0.258
0.084 0.000 0.397
0.449 0.188 0.733
0.449 0.812 0.733
0.551 0.188 0.267
0.551 0.812 0.267
0.916 0.000 0.603
0.981 0.500 0.742

---

PBE-GGA SrAcRu2O8, relaxed; total moment = 0.25 μB/atom; E = -83.680 eV/cell; space-group type = P-3m1, No. 164; density of states at the Fermi level = 0.553 states/eV/atom
1.0
5.994 0.000 0.000
-2.997 5.191 0.000
0.000 0.000 7.579
Sr Ac Ru O
1 1 2 8
Direct
0.000 0.000 0.000
0.000 0.000 0.500
0.333 0.667 0.814
0.667 0.333 0.186
0.166 0.333 0.734
0.166 0.834 0.734
0.333 0.166 0.266
0.333 0.667 0.047
0.667 0.333 0.953
0.667 0.834 0.734
0.834 0.166 0.266
0.834 0.667 0.266

---

PBE-GGA AcTbRu2O8, relaxed; total moment = 0.17 μB/atom; E = -87.984 eV/cell; space-group type = P-3, No. 147; density of states at the Fermi level = 0.722 states/eV/atom
1.0
5.866 0.000 0.000
-2.933 5.080 0.000
0.000 0.000 7.332
Ac Tb Ru O
1 1 2 8
Direct
0.000 0.000 0.000
0.000 0.000 0.500
0.333 0.667 0.787
0.667 0.333 0.213
0.156 0.316 0.718
0.160 0.844 0.718
0.316 0.160 0.282
0.333 0.667 0.033
0.667 0.333 0.967
0.684 0.840 0.718
0.840 0.156 0.282
0.844 0.684 0.282